Compound: YCu2Ni
Source: Alexandria via LeMat-Bulk
Functional: SCAN
Structure: single point on PBEsol structure

a = 4.388 Å, b = 4.388 Å, c = 4.388 Å
α = 60.00°, β = 60.00°, γ = 60.00°
Element x y z (fractional)
Ni1 0.500 0.500 0.500
Cu1 0.250 0.250 0.250
Cu2 0.000 0.000 0.000
Y1 0.750 0.750 0.750

Summary:
Energy of formation = -0.057 eV per atom